<P>
Compound: Ge2Sb2H
Source: Alexandria
Functional: PBE
Structure: optimized geometry

CIF file:
```
data_Ge2Sb2H
_chemical_formula_sum 'Ge4 Sb4 H2'
_cell_length_a 4.3475
_cell_length_b 4.3475
_cell_length_c 13.8933
_cell_angle_alpha 90.00
_cell_angle_beta 90.00
_cell_angle_gamma 90.00
_space_group_name_H-M_alt 'I 4/m m m'
_space_group_IT_number 139
_space_group_name_Hall '-I 4 2'
loop_
_atom_site_label
_atom_site_type_symbol
_atom_site_fract_x
_atom_site_fract_y
_atom_site_fract_z
_atom_site_occupancy
Ge1 Ge 0.0000 0.5000 0.2500 1
Sb1 Sb 0.0000 0.0000 0.1213 1
H1 H 0.0000 0.0000 0.5000 1
```

Properties
* magnetization: 0.000 Bohr magnetons per cell
* ρ: 4.9 g/cm3


<Q>
Compound: Ge2Sb2H
Source: Alexandria
Functional: PBE
Structure: optimized geometry

CIF file:
```
data_Ge2Sb2H
_chemical_formula_sum 'Ge4 Sb4 H2'
_cell_length_a 6.4216
_cell_length_b 6.4216
_cell_length_c 5.0766
_cell_angle_alpha 90.00
_cell_angle_beta 90.00
_cell_angle_gamma 90.00
_space_group_name_H-M_alt 'P 4/m b m'
_space_group_IT_number 127
_space_group_name_Hall '-P 4 2ab'
loop_
_atom_site_label
_atom_site_type_symbol
_atom_site_fract_x
_atom_site_fract_y
_atom_site_fract_z
_atom_site_occupancy
Ge1 Ge 0.1513 0.3487 0.0000 1
Sb1 Sb 0.1984 0.6984 0.5000 1
H1 H 0.0000 0.0000 0.5000 1
```

Properties
* magnetization: 0.000 Bohr magnetons per cell
* ρ: 6.2 g/cm3


Stability, highest: <Q>